Model w:
VASP calculation (GGA-PBE) on an optimized crystal structure of HfV2Co.

Values from the calculation:
The magnetic moment comes out at 0.00 μB/f.u.

Unit cell a=4.071 b=4.071 c=17.129 alpha=90.00 beta=90.00 gamma=90.00
Space group I4_1/amd (No. 141, origin choice 2)
Inequivalent atoms, fractional coordinates:
Hf 0.000 0.250 0.375 (multiplicity 4)
V 0.000 0.000 0.000 (multiplicity 8)
Co 0.000 0.250 0.875 (multiplicity 4)

---

Model x:
VASP calculation (GGA-PBE) on an optimized crystal structure of HfV2Co.

Values from the calculation:
The magnetic moment comes out at 0.00 μB/f.u.

Unit cell a=6.112 b=6.112 c=6.112 alpha=90.00 beta=90.00 gamma=90.00
Space group Fm-3m (No. 225)
Inequivalent atoms, fractional coordinates:
Hf 0.000 0.000 0.000 (multiplicity 4)
V 0.250 0.250 0.250 (multiplicity 8)
Co 0.000 0.000 0.500 (multiplicity 4)

---

Going by the computed energies, the most stable comes first: model x, model w.